Record 1
Crystalline Tb4Pm at its relaxed geometry, computed with PBE.

Values from the calculation:
As for the offset from the most stable computed form: 0.002 eV per atom. The density of states at the Fermi level is 6.432 states/eV/cell. The value obtained for the density is 8.00 g/cm³. As for the space group: I4/mmm (139). The size of the total moment comes out at 0.000 μB per atom.

Structure (CIF):
```
data_Tb4Pm
_cell_length_a 3.5756
_cell_length_b 3.5756
_cell_length_c 12.9210
_cell_angle_alpha 97.95
_cell_angle_beta 97.95
_cell_angle_gamma 90.00
_space_group_name_H-M_alt 'P 1'
_space_group_IT_number 1
loop_
_space_group_symop_operation_xyz
'x,y,z'
loop_
_atom_site_label
_atom_site_type_symbol
_atom_site_fract_x
_atom_site_fract_y
_atom_site_fract_z
Tb1 Tb 0.6013 0.6013 0.2026
Tb2 Tb 0.2005 0.2005 0.4010
Tb3 Tb 0.7995 0.7995 0.5990
Tb4 Tb 0.3987 0.3987 0.7974
Pm1 Pm 0.0000 0.0000 0.0000
```



Record 2
Crystalline Na3Ac2ZrS6 at its relaxed geometry, computed with PBE.

Values from the calculation:
As for the formation energy (no corrections): -158.3 kJ per mole of atoms. The density of states at the Fermi level is 4.946 states/eV/cell. The value obtained for the density is 4.43 g/cm³. As for the space group: C2/m (12). The size of the total moment comes out at 0.039 μB per atom.

Structure (CIF):
```
data_Na3Ac2ZrS6
_cell_length_a 7.1874
_cell_length_b 7.1874
_cell_length_c 7.1683
_cell_angle_alpha 99.64
_cell_angle_beta 99.64
_cell_angle_gamma 119.96
_space_group_name_H-M_alt 'P 1'
_space_group_IT_number 1
loop_
_space_group_symop_operation_xyz
'x,y,z'
loop_
_atom_site_label
_atom_site_type_symbol
_atom_site_fract_x
_atom_site_fract_y
_atom_site_fract_z
Na1 Na 0.1612 0.8388 0.5000
Na2 Na 0.8388 0.1612 0.5000
Na3 Na 0.5000 0.5000 0.5000
Ac1 Ac 0.3321 0.6679 0.0000
Ac2 Ac 0.6679 0.3321 0.0000
Zr1 Zr 0.0000 0.0000 0.0000
S1 S 0.9200 0.6198 0.7639
S2 S 0.7755 0.7755 0.2282
S3 S 0.0800 0.3802 0.2361
S4 S 0.6198 0.9200 0.7639
S5 S 0.2245 0.2245 0.7718
S6 S 0.3802 0.0800 0.2361
```



What are the volume values for these records? In order: 162 302 Å³ per cell.